## Ti3VF (PBE with a Hubbard U)

Data for Ti3VF after structural relaxation. Values from VASP.

Output
- DOS(E_F) (states/eV per atom) = 1.25
- total energy (eV for the cell shown) = -27.88
- calculated volume (Å³/cell) = 102.46

Geometry as Quantum ESPRESSO input:
```
&SYSTEM
  ibrav = 0, nat = 5, ntyp = 3
/
ATOMIC_SPECIES
Ti 47.87 Ti.upf
V 50.94 V.upf
F 19.00 F.upf
ATOMIC_POSITIONS angstrom
Ti 0.000 0.000 2.340
Ti 0.000 2.340 0.000
Ti 2.340 0.000 0.000
V 0.000 0.000 0.000
F 2.340 2.340 2.340
CELL_PARAMETERS angstrom
4.679 0.000 0.000
0.000 4.679 0.000
0.000 0.000 4.679
```